LaGaO2F after structural relaxation, computed with GGA-PBE.

The calculation puts the density of states at the Fermi level at 3.04 states/eV/cell. For the total energy, the calculation gives -6.26 eV per atom. The value obtained for the total magnetization is 0.00 μB per cell. The value obtained for the uncorrected formation energy is -2.31 eV/atom.

The space group is P4/mmm (No. 123) and the conventional cell measures 4.017, 4.017 and 4.089 Å, with angles of 90.00, 90.00 and 90.00 degrees. The distinct sites, in fractional coordinates, are La at (0.000, 0.000, 0.000), Ga at (0.500, 0.500, 0.500), O at (0.000, 0.500, 0.500) and F at (0.500, 0.500, 0.000).